#a
VASP calculation (PBE) on a geometry-optimized Pu4Te3Se structure.

a = 6.1709 Å, b = 6.1709 Å, c = 7.5794 Å
α = 114.02°, β = 114.02°, γ = 90.00°
Sites, in units of the cell vectors:
Pu 0.7585 0.7585 0.5170
Pu 0.2415 0.2415 0.4830
Pu 0.5000 0.0000 0.0000
Pu 0.0000 0.5000 0.0000
Te 0.5000 0.5000 0.0000
Te 0.7500 0.2500 0.5000
Te 0.2500 0.7500 0.5000
Se 0.0000 0.0000 0.0000

## Properties
The calculation puts the density of states at the Fermi level at 48.694 states/eV per cell. The value obtained for the total moment is 0.00 μB per formula unit.

#b
VASP calculation (PBE) on a geometry-optimized Pu4Te3Se structure.

a = 7.5236 Å, b = 7.5352 Å, c = 8.7863 Å
α = 90.00°, β = 90.00°, γ = 109.71°
Sites, in units of the cell vectors:
Te 0.7500 0.0000 0.3746
Te 0.2500 0.0000 0.6254
Te 0.7500 0.5000 0.6252
Te 0.7500 0.5000 0.1250
Te 0.2500 0.5000 0.3748
Te 0.2500 0.5000 0.8750
Se 0.7500 0.0000 0.8753
Se 0.2500 0.0000 0.1247
Pu 0.9925 0.2433 0.6303
Pu 0.4999 0.2345 0.8858
Pu 0.4925 0.2433 0.3697
Pu 0.9999 0.2345 0.1142
Pu 0.0001 0.7655 0.8858
Pu 0.5075 0.7567 0.6303
Pu 0.5001 0.7655 0.1142
Pu 0.0075 0.7567 0.3697

## Properties
The calculation puts the density of states at the Fermi level at 86.999 states/eV per cell. The value obtained for the total moment is 0.07 μB per formula unit.

Stability summary - winner: #b; margin: 0.019 eV/atom.

#a
VASP calculation (PBE) on a geometry-optimized PuTeSe structure.

a = 3.8477 Å, b = 3.8477 Å, c = 5.8525 Å
α = 109.19°, β = 109.19°, γ = 90.00°
Sites, in units of the cell vectors:
Te 0.0141 0.0141 0.0281
Se 0.3056 0.3056 0.6111
Pu 0.6804 0.6804 0.3608

## Properties
The calculation puts the density of states at the Fermi level at 9.866 states/eV per cell. The value obtained for the total moment is 4.79 μB per formula unit.

#b
VASP calculation (PBE) on a geometry-optimized PuTeSe structure.

a = 4.1857 Å, b = 4.7910 Å, c = 4.7910 Å
α = 120.00°, β = 90.00°, γ = 90.00°
Sites, in units of the cell vectors:
Te 0.6666 0.6667 0.3333
Se 0.1657 0.0000 0.0000
Pu 0.1678 0.3333 0.6667

## Properties
The calculation puts the density of states at the Fermi level at 8.489 states/eV per cell. The value obtained for the total moment is 4.38 μB per formula unit.

Stability summary - winner: #a; margin: 0.125 eV/atom.

#a
VASP calculation (PBE) on a geometry-optimized PuTeSe structure.

a = 5.0251 Å, b = 5.0251 Å, c = 5.0251 Å
α = 60.00°, β = 60.00°, γ = 60.00°
Sites, in units of the cell vectors:
Te 0.0000 0.0000 0.0000
Se 0.5000 0.5000 0.5000
Pu 0.2500 0.2500 0.2500

## Properties
The calculation puts the density of states at the Fermi level at 9.257 states/eV per cell. The value obtained for the total moment is 4.15 μB per formula unit.

#b
VASP calculation (PBE) on a geometry-optimized PuTeSe structure.

a = 4.2754 Å, b = 4.2754 Å, c = 9.2874 Å
α = 103.31°, β = 103.31°, γ = 90.00°
Sites, in units of the cell vectors:
Pu 0.3468 0.3468 0.6935
Pu 0.6532 0.6532 0.3065
Te 0.0000 0.5000 0.0000
Te 0.5000 0.0000 0.0000
Se 0.1818 0.1818 0.3635
Se 0.8182 0.8182 0.6365

## Properties
The calculation puts the density of states at the Fermi level at 21.685 states/eV per cell. The value obtained for the total moment is 5.25 μB per formula unit.

Stability summary - winner: #b; margin: 0.193 eV/atom.

#a
VASP calculation (PBE) on a geometry-optimized PuThTeSe structure.

a = 4.2512 Å, b = 4.2512 Å, c = 7.6085 Å
α = 73.78°, β = 73.78°, γ = 60.00°
Sites, in units of the cell vectors:
Pu 0.9904 0.9904 0.0287
Th 0.5086 0.5086 0.4742
Te 0.7474 0.7474 0.7577
Se 0.2535 0.2535 0.2394

## Properties
The calculation puts the density of states at the Fermi level at 7.541 states/eV per cell. The value obtained for the total moment is 5.75 μB per formula unit.

#b
VASP calculation (PBE) on a geometry-optimized PuThTeSe structure.

a = 5.2840 Å, b = 5.2840 Å, c = 5.2840 Å
α = 60.00°, β = 60.00°, γ = 60.00°
Sites, in units of the cell vectors:
Te 0.5000 0.5000 0.5000
Se 0.0000 0.0000 0.0000
Th 0.7500 0.7500 0.7500
Pu 0.2500 0.2500 0.2500

## Properties
The calculation puts the density of states at the Fermi level at 7.735 states/eV per cell. The value obtained for the total moment is 6.93 μB per formula unit.

Stability summary - winner: #a; margin: 0.193 eV/atom.